a) NaSn2Ge: optimized geometry, GGA-PBE.

Its density of states at the Fermi level is 1.23 states/eV per cell.

abc: 3.770 3.770 7.257
angles: 90.00 90.00 90.00
Sites, in units of the cell vectors:
Sn 0.000 0.000 0.793
Na 0.500 0.500 0.500
Ge 0.500 0.500 0.000
Sn 0.000 0.000 0.207


b) NaSn2Ge: optimized geometry, GGA-PBE.

Its density of states at the Fermi level is 1.89 states/eV per cell.

abc: 3.782 3.782 10.002
angles: 79.10 79.10 60.00
Sites, in units of the cell vectors:
Sn 0.896 0.896 0.313
Ge 0.500 0.500 0.500
Sn 0.104 0.104 0.687
Na 0.000 0.000 0.000


Top of the stability list: a), leading by 168 meV/atom.


a) Na3SnGe: optimized geometry, GGA-PBE.

Its density of states at the Fermi level is 2.75 states/eV per cell.

abc: 7.273 7.273 7.490
angles: 110.28 118.88 98.37
Sites, in units of the cell vectors:
Na 0.761 0.588 0.741
Na 0.848 0.020 0.259
Na 0.283 0.555 0.838
Na 0.717 0.445 0.162
Sn 0.729 0.078 0.807
Ge 0.387 0.218 0.605
Na 0.239 0.412 0.259
Sn 0.271 0.922 0.193
Ge 0.613 0.782 0.395
Na 0.152 0.980 0.741


b) Na3SnGe: optimized geometry, GGA-PBE.

Its density of states at the Fermi level is 4.17 states/eV per cell.

abc: 5.488 5.488 5.488
angles: 90.00 90.00 90.00
Sites, in units of the cell vectors:
Sn 0.500 0.500 0.500
Ge 0.000 0.000 0.000
Na 0.000 0.500 0.000
Na 0.500 0.000 0.000
Na 0.000 0.000 0.500


Top of the stability list: a), leading by 387 meV/atom.


a) NaSrGe2: optimized geometry, GGA-PBE.

Its density of states at the Fermi level is 2.86 states/eV per cell.

abc: 5.250 5.250 5.250
angles: 60.00 60.00 60.00
Sites, in units of the cell vectors:
Na 0.000 0.000 0.000
Sr 0.500 0.500 0.500
Ge 0.250 0.250 0.250
Ge 0.750 0.750 0.750


b) NaSrGe2: optimized geometry, GGA-PBE.

Its density of states at the Fermi level is 3.87 states/eV per cell.

abc: 4.852 4.852 10.418
angles: 76.54 76.54 90.00
Sites, in units of the cell vectors:
Na 0.250 0.750 0.500
Ge 0.875 0.763 0.750
Sr 0.750 0.250 0.500
Sr 0.000 0.000 0.000
Ge 0.375 0.487 0.750
Ge 0.513 0.125 0.250
Na 0.500 0.500 0.000
Ge 0.237 0.625 0.250


c) NaSrGe2: optimized geometry, GGA-PBE.

Its density of states at the Fermi level is 3.03 states/eV per cell.

abc: 4.734 7.159 12.723
angles: 90.00 90.00 90.00
Sites, in units of the cell vectors:
Ge 0.250 0.670 0.352
Ge 0.750 0.978 0.672
Ge 0.750 0.478 0.828
Na 0.750 0.847 0.452
Sr 0.250 0.152 0.839
Ge 0.250 0.022 0.328
Ge 0.250 0.522 0.172
Ge 0.750 0.830 0.852
Sr 0.750 0.348 0.339
Na 0.250 0.653 0.952
Sr 0.750 0.848 0.161
Na 0.750 0.347 0.048
Ge 0.250 0.170 0.148
Na 0.250 0.153 0.548
Ge 0.750 0.330 0.648
Sr 0.250 0.652 0.661


Top of the stability list: c), leading by 251 meV/atom.


a) NaSr2Ge2: optimized geometry, GGA-PBE.

Its density of states at the Fermi level is 4.38 states/eV per cell.

abc: 9.484 9.484 3.385
angles: 90.00 90.00 90.00
Sites, in units of the cell vectors:
Ge 0.830 0.330 0.500
Na 0.000 0.000 0.000
Sr 0.870 0.630 0.000
Sr 0.370 0.870 0.000
Na 0.500 0.500 0.000
Ge 0.330 0.170 0.500
Sr 0.130 0.370 0.000
Ge 0.670 0.830 0.500
Sr 0.630 0.130 0.000
Ge 0.170 0.670 0.500


b) NaSr2Ge2: optimized geometry, GGA-PBE.

Its density of states at the Fermi level is 6.33 states/eV per cell.

abc: 6.196 6.196 6.220
angles: 60.13 60.13 90.00
Sites, in units of the cell vectors:
Sr 0.750 0.250 0.500
Sr 0.250 0.750 0.500
Ge 0.359 0.359 0.282
Na 0.000 0.000 0.000
Ge 0.641 0.641 0.718


c) NaSr2Ge2: optimized geometry, GGA-PBE.

Its density of states at the Fermi level is 4.51 states/eV per cell.

abc: 5.447 6.406 9.573
angles: 103.97 90.00 115.16
Sites, in units of the cell vectors:
Sr 0.393 0.287 0.129
Na 0.750 0.000 0.250
Na 0.250 0.000 0.750
Sr 0.106 0.713 0.371
Ge 0.388 0.276 0.458
Ge 0.612 0.724 0.542
Sr 0.894 0.287 0.629
Ge 0.112 0.724 0.042
Sr 0.607 0.713 0.871
Ge 0.888 0.276 0.958


d) NaSr2Ge2: optimized geometry, GGA-PBE.

Its density of states at the Fermi level is 3.88 states/eV per cell.

abc: 8.188 8.188 4.542
angles: 90.00 90.00 90.00
Sites, in units of the cell vectors:
Ge 0.111 0.389 0.000
Ge 0.611 0.111 0.000
Ge 0.889 0.611 0.000
Na 0.500 0.500 0.000
Sr 0.676 0.824 0.500
Na 0.000 0.000 0.000
Sr 0.176 0.676 0.500
Ge 0.389 0.889 0.000
Sr 0.324 0.176 0.500
Sr 0.824 0.324 0.500


Top of the stability list: d), leading by 33 meV/atom.


a) NaSrGe3: optimized geometry, GGA-PBE.

Its density of states at the Fermi level is 5.53 states/eV per cell.

abc: 4.149 4.618 13.636
angles: 99.75 90.00 90.00
Sites, in units of the cell vectors:
Ge 0.750 0.625 0.250
Na 0.750 0.207 0.413
Ge 0.750 0.322 0.643
Ge 0.250 0.678 0.357
Ge 0.750 0.527 0.054
Na 0.250 0.793 0.587
Sr 0.750 0.926 0.851
Sr 0.250 0.074 0.149
Ge 0.250 0.375 0.750
Ge 0.250 0.473 0.946


b) NaSrGe3: optimized geometry, GGA-PBE.

Its density of states at the Fermi level is 3.48 states/eV per cell.

abc: 5.135 5.135 5.135
angles: 90.00 90.00 90.00
Sites, in units of the cell vectors:
Ge 0.000 0.500 0.000
Na 0.000 0.000 0.000
Ge 0.500 0.000 0.000
Sr 0.500 0.500 0.500
Ge 0.000 0.000 0.500


c) NaSrGe3: optimized geometry, GGA-PBE.

Its density of states at the Fermi level is 7.24 states/eV per cell.

abc: 5.743 5.743 5.743
angles: 90.00 90.00 90.00
Sites, in units of the cell vectors:
Ge 0.000 0.500 0.000
Ge 0.000 0.000 0.500
Sr 0.000 0.000 0.000
Ge 0.500 0.000 0.000
Na 0.500 0.500 0.500


Top of the stability list: a), leading by 681 meV/atom.


a) Na2Sr2Ge: optimized geometry, GGA-PBE.

Its density of states at the Fermi level is 5.74 states/eV per cell.

abc: 7.840 7.840 5.457
angles: 90.00 90.00 90.00
Sites, in units of the cell vectors:
Sr 0.197 0.697 0.500
Ge 0.000 0.000 0.000
Na 0.135 0.365 0.000
Na 0.865 0.635 0.000
Sr 0.697 0.803 0.500
Ge 0.500 0.500 0.000
Sr 0.303 0.197 0.500
Sr 0.803 0.303 0.500
Na 0.365 0.865 0.000
Na 0.635 0.135 0.000


b) Na2Sr2Ge: optimized geometry, GGA-PBE.

Its density of states at the Fermi level is 1.41 states/eV per cell.

abc: 8.310 8.310 6.315
angles: 90.00 90.00 90.00
Sites, in units of the cell vectors:
Sr 0.670 0.170 0.000
Na 0.845 0.345 0.500
Na 0.345 0.155 0.500
Na 0.155 0.655 0.500
Ge 0.000 0.000 0.000
Sr 0.170 0.330 0.000
Na 0.655 0.845 0.500
Sr 0.830 0.670 0.000
Sr 0.330 0.830 0.000
Ge 0.500 0.500 0.000


Top of the stability list: a), leading by 34 meV/atom.